Entry from Alexandria: an optimized crystal structure of CeNb4S8 (PBE).

Values from the calculation:
ΔE_f (raw), eV per atom: -1.24
Distance to the lowest polymorph of the same formula, eV/atom: 0.000

Lattice parameters (Å, degrees): 6.863 6.863 8.739 122.61 122.61 60.78
Element x y z (fractional)
Ce (0.000, 0.000, 0.000)
Nb (0.276, 0.276, 0.508)
Nb (0.296, 0.704, 0.500)
Nb (0.704, 0.296, 0.500)
Nb (0.724, 0.724, 0.492)
S (0.002, 0.002, 0.685)
S (0.023, 0.520, 0.728)
S (0.460, 0.460, 0.238)
S (0.480, 0.977, 0.272)
S (0.520, 0.023, 0.728)
S (0.540, 0.540, 0.762)
S (0.977, 0.480, 0.272)
S (0.998, 0.998, 0.315)